(A)
# Be2InPt2, relaxed, DFT GGA-PBE
# Magnetic moment: 0.00 μB/f.u.
# V: 141 Å³ per cell
data_Be2InPt2
_chemical_formula_sum 'Be4 In2 Pt4'
_cell_length_a 7.100
_cell_length_b 7.100
_cell_length_c 2.805
_cell_angle_alpha 90.00
_cell_angle_beta 90.00
_cell_angle_gamma 90.00
_symmetry_space_group_name_H-M 'P 4/m b m'
_symmetry_Int_Tables_number 127
_symmetry_space_group_name_Hall '-P 4 2ab'
loop_
_atom_site_label
_atom_site_type_symbol
_atom_site_fract_x
_atom_site_fract_y
_atom_site_fract_z
Be1 Be 0.142 0.358 0.000
In1 In 0.000 0.000 0.500
Pt1 Pt 0.146 0.646 0.500


(B)
# Be2InPt2, relaxed, DFT GGA-PBE
# Magnetic moment: 0.00 μB/f.u.
# V: 145 Å³ per cell
data_Be2InPt2
_chemical_formula_sum 'Be4 In2 Pt4'
_cell_length_a 3.385
_cell_length_b 3.385
_cell_length_c 12.649
_cell_angle_alpha 90.00
_cell_angle_beta 90.00
_cell_angle_gamma 90.00
_symmetry_space_group_name_H-M 'I 4/m m m'
_symmetry_Int_Tables_number 139
_symmetry_space_group_name_Hall '-I 4 2'
loop_
_atom_site_label
_atom_site_type_symbol
_atom_site_fract_x
_atom_site_fract_y
_atom_site_fract_z
Be1 Be 0.000 0.500 0.250
In1 In 0.000 0.000 0.000
Pt1 Pt 0.000 0.000 0.378


Stability, highest: (B)